(i)
A relaxed InP2F crystal, computed with GGA-PBE.

Summary:
Fermi-level density of states = 2.0 states/eV per cell
Space group = Fm-3m, No. 225

The structure in POSCAR format:
```
InP2F
1.0
0.0000 3.1870 3.1870
3.1870 0.0000 3.1870
3.1870 3.1870 0.0000
In F P
1 1 2
Cartesian
3.1870 3.1870 3.1870
0.0000 0.0000 0.0000
4.7805 4.7805 4.7805
1.5935 1.5935 1.5935
```

=====

(ii)
A relaxed InP2F crystal, computed with GGA-PBE.

Summary:
Fermi-level density of states = 3.3 states/eV per cell
Space group = I-42d, No. 122

The structure in POSCAR format:
```
InP2F
1.0
3.5247 0.0000 0.0000
0.0000 3.5247 0.0000
1.7623 1.7623 11.7096
P In F
4 2 2
Cartesian
2.4546 0.8812 2.9274
1.0700 2.6435 2.9274
2.6435 2.8324 8.7822
4.4058 4.2170 8.7822
0.0000 0.0000 0.0000
3.5247 1.7623 5.8548
1.7623 1.7623 0.0000
1.7623 3.5247 5.8548
```

=====

Result of the stability comparison: (i) is the least stable of them.

=====

(i)
A relaxed In2PF crystal, computed with GGA-PBE.

Summary:
Fermi-level density of states = 3.3 states/eV per cell
Space group = I-42d, No. 122

The structure in POSCAR format:
```
In2PF
1.0
-1.9251 -4.6581 -1.2508
-0.6983 -1.0634 5.0349
-7.7474 -0.1169 1.5790
F In P
2 4 2
Cartesian
-4.8787 -2.0205 4.2530
-1.3117 -2.8608 1.8921
-3.1409 -2.8643 0.2985
-6.8257 -2.2810 2.8294
-8.0747 -5.0462 4.2692
-2.7004 -1.4853 3.3291
-5.4921 -3.8179 1.1101
0.0000 0.0000 0.0000
```

=====

(ii)
A relaxed In2PF crystal, computed with GGA-PBE.

Summary:
Fermi-level density of states = 0.9 states/eV per cell
Space group = Fm-3m, No. 225

The structure in POSCAR format:
```
In2PF
1.0
-0.0025 -2.9633 3.6995
-2.5479 -3.9935 -0.1640
2.1852 -4.1939 -0.3213
P F In
1 1 2
Cartesian
-0.1826 -5.5754 1.6071
0.0000 0.0000 0.0000
-0.0913 -2.7877 0.8035
-0.2739 -8.3631 2.4106
```

=====

Result of the stability comparison: (i) is the least stable of them.

=====

(i)
A relaxed InP2SF crystal, computed with GGA-PBE.

Summary:
Fermi-level density of states = 4.1 states/eV per cell
Space group = P4/mmm, No. 123

The structure in POSCAR format:
```
InP2SF
1.0
4.0545 0.0000 0.0000
0.0000 4.0545 0.0000
0.0000 0.0000 6.2461
P S F In
2 1 1 1
Cartesian
0.0000 2.0273 0.0000
2.0273 0.0000 0.0000
0.0000 0.0000 3.1230
0.0000 0.0000 0.0000
2.0273 2.0273 3.1230
```

=====

(ii)
A relaxed InP2SF crystal, computed with GGA-PBE.

Summary:
Fermi-level density of states = 5.2 states/eV per cell
Space group = P4/mmm, No. 123

The structure in POSCAR format:
```
InP2SF
1.0
-1.6664 -3.8275 3.0417
-1.2282 -2.7827 -4.1745
4.5395 -1.9858 -0.0119
P S In F
2 1 1 1
Cartesian
-0.8332 -1.9137 1.5208
-0.6141 -1.3914 -2.0873
2.2697 -0.9929 -0.0059
0.0000 0.0000 0.0000
0.8224 -4.2980 -0.5723
```

=====

Result of the stability comparison: (ii) is the least stable of them.

=====

(i)
A relaxed InPb3F crystal, computed with GGA-PBE.

Summary:
Fermi-level density of states = 2.7 states/eV per cell
Space group = Pm-3m, No. 221

The structure in POSCAR format:
```
InPb3F
1.0
-2.1514 1.0627 4.6152
-1.2338 -5.0198 0.5807
4.5725 -0.8545 2.3283
In Pb F
1 3 1
Cartesian
0.5936 -2.4058 3.7621
-0.6169 -2.5099 0.2904
2.2862 -0.4273 1.1641
-1.0757 0.5314 2.3076
0.0000 0.0000 0.0000
```

=====

(ii)
A relaxed InPb3F crystal, computed with GGA-PBE.

Summary:
Fermi-level density of states = 2.6 states/eV per cell
Space group = Pm-3m, No. 221

The structure in POSCAR format:
```
InPb3F
1.0
5.8399 0.0000 0.0000
0.0000 5.8399 0.0000
0.0000 0.0000 5.8399
In Pb F
1 3 1
Cartesian
0.0000 0.0000 0.0000
0.0000 2.9199 0.0000
0.0000 0.0000 2.9199
2.9199 0.0000 0.0000
2.9199 2.9199 2.9199
```

=====

Result of the stability comparison: (ii) is the least stable of them.

=====

(i)
A relaxed In3PbF crystal, computed with GGA-PBE.

Summary:
Fermi-level density of states = 3.5 states/eV per cell
Space group = Pm-3m, No. 221

The structure in POSCAR format:
```
In3PbF
1.0
-3.7089 4.5826 1.6137
-4.8250 -3.2365 -1.8984
-0.5688 -2.4258 5.5813
In Pb F
3 1 1
Cartesian
-1.8544 2.2913 0.8068
-0.2844 -1.2129 2.7907
-2.4125 -1.6183 -0.9492
0.0000 0.0000 0.0000
-4.5513 -0.5399 2.6483
```

=====

(ii)
A relaxed In3PbF crystal, computed with GGA-PBE.

Summary:
Fermi-level density of states = 4.1 states/eV per cell
Space group = Pm-3m, No. 221

The structure in POSCAR format:
```
In3PbF
1.0
-3.2672 1.9302 -3.4180
0.9448 -3.9296 -3.1222
-3.8099 -2.6297 2.1568
In F Pb
3 1 1
Cartesian
-1.9050 -1.3149 1.0784
0.4724 -1.9648 -1.5611
-1.6336 0.9651 -1.7090
0.0000 0.0000 0.0000
-3.0661 -2.3146 -2.1917
```

=====

Result of the stability comparison: (i) is the least stable of them.

=====

(i)
A relaxed In2PbF4 crystal, computed with GGA-PBE.

Summary:
Fermi-level density of states = 0.0 states/eV per cell
Space group = C2/m, No. 12

The structure in POSCAR format:
```
In2PbF4
1.0
0.7737 5.4800 6.6624
-0.6875 1.9918 8.4118
4.5722 4.6616 8.2031
F In Pb
4 2 1
Cartesian
1.9418 3.1064 5.3630
2.7166 9.0271 17.9142
3.8839 6.4358 13.6728
0.7745 5.6977 9.6044
1.6709 7.5454 14.0456
2.9876 4.5880 9.2316
0.3869 2.7400 3.3312
```

=====

(ii)
A relaxed In2PbF4 crystal, computed with GGA-PBE.

Summary:
Fermi-level density of states = 0.0 states/eV per cell
Space group = I4/mmm, No. 139

The structure in POSCAR format:
```
In2PbF4
1.0
4.9037 0.0000 0.0000
0.0000 4.9037 0.0000
2.4519 2.4519 6.7916
In F Pb
2 4 1
Cartesian
4.9037 4.9037 4.7728
2.4519 2.4519 2.0188
0.0000 2.4519 0.0000
4.9037 4.9037 2.4847
2.4519 2.4519 4.3069
2.4519 0.0000 0.0000
0.0000 0.0000 0.0000
```

=====

Result of the stability comparison: (ii) is the least stable of them.

=====

(i)
A relaxed In3PdF crystal, computed with GGA-PBE.

Summary:
Fermi-level density of states = 1.5 states/eV per cell
Space group = Pm-3m, No. 221

The structure in POSCAR format:
```
In3PdF
1.0
-1.4928 4.4259 1.4121
0.6407 -1.2729 4.6669
4.6013 1.6131 -0.1917
In F Pd
3 1 1
Cartesian
-0.7464 2.2130 0.7061
2.3007 0.8066 -0.0958
0.3203 -0.6365 2.3335
0.0000 0.0000 0.0000
1.8746 2.3831 2.9437
```

=====

(ii)
A relaxed In3PdF crystal, computed with GGA-PBE.

Summary:
Fermi-level density of states = 0.4 states/eV per cell
Space group = Pm-3m, No. 221

The structure in POSCAR format:
```
In3PdF
1.0
-3.9237 -1.4072 -3.0560
3.1688 0.0318 -4.0831
1.1305 -4.9733 0.8386
F In Pd
1 3 1
Cartesian
0.1878 -3.1743 -3.1503
-1.9618 -0.7036 -1.5280
0.5652 -2.4866 0.4193
1.5844 0.0159 -2.0416
0.0000 0.0000 0.0000
```

=====

Result of the stability comparison: (i) is the least stable of them.

=====

(i)
A relaxed InPd2F crystal, computed with GGA-PBE.

Summary:
Fermi-level density of states = 4.0 states/eV per cell
Space group = I-42d, No. 122

The structure in POSCAR format:
```
InPd2F
1.0
6.9831 0.0000 0.0000
0.0000 6.9831 0.0000
3.4916 3.4916 2.7071
Pd F In
4 2 2
Cartesian
5.0266 1.7458 0.6768
5.2373 5.4481 2.0304
8.7289 8.5182 2.0304
1.9565 5.2373 0.6768
3.4916 6.9831 1.3536
3.4916 3.4916 0.0000
6.9831 3.4916 1.3536
0.0000 0.0000 0.0000
```

=====

(ii)
A relaxed InPd2F crystal, computed with GGA-PBE.

Summary:
Fermi-level density of states = 0.6 states/eV per cell
Space group = Fm-3m, No. 225

The structure in POSCAR format:
```
InPd2F
1.0
-2.5830 0.2108 3.6354
-3.9846 -2.0136 0.0270
-0.6422 -3.6452 2.4965
Pd F In
2 1 1
Cartesian
-5.4074 -4.0860 4.6192
-1.8025 -1.3620 1.5397
0.0000 0.0000 0.0000
-3.6049 -2.7240 3.0795
```

=====

Result of the stability comparison: (i) is the least stable of them.